Record 1
Below is an optimized crystal structure of Hf12Co2Rh5, with properties calculated at the GGA-PBE level.

N(E_F): 17.6 states/eV/f.u.
E_tot: -177.1 eV/cell

abc: 6.5075 7.8544 8.4299
angles: 99.12 90.00 114.47
With the nearest neighbours (Å) after each atom.
Element x y z (fractional)
Hf 0.5828 0.6555 0.8834  1 Co 2.52, 3 Rh 2.65-2.76
Hf 0.4172 0.3445 0.1166  1 Co 2.52, 3 Rh 2.65-2.76
Hf 0.0727 0.6555 0.8834  1 Co 2.52, 3 Rh 2.65-2.76
Hf 0.9273 0.3445 0.1166  1 Co 2.52, 3 Rh 2.65-2.76
Hf 0.4840 0.9680 0.7156  2 Co 2.67, 2 Rh 2.70-2.77
Hf 0.5979 0.7111 0.4231  4 Rh 2.63-2.81
Hf 0.0303 0.0607 0.8311  2 Co 2.55, 1 Rh 2.75
Hf 0.4021 0.2889 0.5769  4 Rh 2.63-2.81
Hf 0.5160 0.0320 0.2844  2 Co 2.67, 2 Rh 2.70-2.77
Hf 0.9697 0.9393 0.1689  2 Co 2.55, 1 Rh 2.75
Hf 0.1132 0.7111 0.4231  4 Rh 2.63-2.81
Hf 0.8868 0.2889 0.5769  4 Rh 2.63-2.81
Co 0.3105 0.0000 0.0000  1 Co 2.47, 6 Hf 2.52-2.67
Co 0.6895 0.0000 0.0000  1 Co 2.47, 6 Hf 2.52-2.67
Rh 0.3317 0.6635 0.1431  7 Hf 2.70-2.81
Rh 0.0000 0.0000 0.5000  6 Hf 2.65-2.75
Rh 0.6683 0.3365 0.8569  7 Hf 2.70-2.81
Rh 0.7121 0.4243 0.3647  7 Hf 2.63-2.77
Rh 0.2879 0.5757 0.6353  7 Hf 2.63-2.77

***

Record 2
Below is an optimized crystal structure of HfCo3Rh, with properties calculated at the GGA-PBE level.

Relative energy among the computed polymorphs: 504 meV per atom
N(E_F): 6.0 states/eV/f.u.

abc: 4.4211 4.4211 4.4211
angles: 90.00 90.00 90.00
With the nearest neighbours (Å) after each atom.
Element x y z (fractional)
Rh 0.5000 0.5000 0.5000  12 Co 3.13
Co 0.0000 0.0000 0.5000  2 Hf 2.21
Co 0.0000 0.5000 0.0000  2 Hf 2.21
Co 0.5000 0.0000 0.0000  2 Hf 2.21
Hf 0.0000 0.0000 0.0000  6 Co 2.21

***

Record 3
Below is an optimized crystal structure of Hf3CoRh, with properties calculated at the GGA-PBE level.

Relative energy among the computed polymorphs: 0 meV per atom
N(E_F): 3.4 states/eV/f.u.

abc: 5.2627 5.2626 8.3132
angles: 66.37 66.37 64.01
With the nearest neighbours (Å) after each atom.
Element x y z (fractional)
Rh 0.2729 0.7271 0.5000  1 Rh 2.53, 4 Hf 2.64-2.77
Rh 0.7271 0.2729 0.5000  1 Rh 2.53, 4 Hf 2.64-2.77
Hf 0.0228 0.0228 0.7475  2 Co 2.50, 2 Rh 2.64
Hf 0.2923 0.2923 0.3189  2 Co 2.74, 2 Rh 2.77
Hf 0.6950 0.6950 0.1237  4 Co 2.73-2.83, 2 Rh 3.04
Hf 0.7077 0.7077 0.6811  2 Co 2.74, 2 Rh 2.77
Hf 0.9772 0.9772 0.2525  2 Co 2.50, 2 Rh 2.64
Hf 0.3050 0.3050 0.8763  4 Co 2.73-2.83, 2 Rh 3.04
Co 0.7335 0.2665 0.0000  6 Hf 2.50-2.74, 1 Co 2.61
Co 0.2665 0.7335 0.0000  6 Hf 2.50-2.74, 1 Co 2.61

***

Record 4
Below is an optimized crystal structure of Hf5CoRh4, with properties calculated at the GGA-PBE level.

N(E_F): 6.5 states/eV/f.u.
E_tot: -94.0 eV/cell

abc: 3.2555 3.2555 16.1538
angles: 90.00 90.00 90.00
With the nearest neighbours (Å) after each atom.
Element x y z (fractional)
Rh 0.0000 0.0000 0.3987  8 Hf 2.82
Rh 0.0000 0.0000 0.6013  8 Hf 2.82
Rh 0.0000 0.0000 0.1976  8 Hf 2.81-2.84
Rh 0.0000 0.0000 0.8024  8 Hf 2.81-2.84
Co 0.0000 0.0000 0.0000  8 Hf 2.76
Hf 0.5000 0.5000 0.2974  8 Rh 2.81-2.82
Hf 0.5000 0.5000 0.0946  4 Co 2.76, 4 Rh 2.84, 1 Hf 3.06
Hf 0.5000 0.5000 0.5000  8 Rh 2.82
Hf 0.5000 0.5000 0.9054  4 Co 2.76, 4 Rh 2.84, 1 Hf 3.06
Hf 0.5000 0.5000 0.7026  8 Rh 2.81-2.82

***

Record 5
Below is an optimized crystal structure of Hf8Co2Rh, with properties calculated at the GGA-PBE level.

N(E_F): 12.8 states/eV/f.u.
E_tot: -103.5 eV/cell

abc: 5.5540 7.2825 7.2825
angles: 47.02 90.59 90.59
With the nearest neighbours (Å) after each atom.
Element x y z (fractional)
Co 0.4120 0.2633 0.2633  6 Hf 2.45-2.72
Co 0.5880 0.7367 0.7367  6 Hf 2.45-2.72
Hf 0.3386 0.3577 0.8543  2 Co 2.59-2.64, 1 Rh 2.76, 1 Hf 2.89
Hf 0.6614 0.1457 0.6423  2 Co 2.59-2.64, 1 Rh 2.76, 1 Hf 2.89
Hf 0.8803 0.2049 0.2049  2 Co 2.72-3.05, 1 Rh 2.82
Hf 0.1197 0.7951 0.7951  2 Co 2.72-3.05, 1 Rh 2.82
Hf 0.1442 0.4074 0.4074  1 Co 2.45
Hf 0.6614 0.6423 0.1457  2 Co 2.59-2.64, 1 Rh 2.76, 1 Hf 2.89
Hf 0.8558 0.5926 0.5926  1 Co 2.45
Hf 0.3386 0.8543 0.3577  2 Co 2.59-2.64, 1 Rh 2.76, 1 Hf 2.89
Rh 0.0000 0.0000 0.0000  6 Hf 2.76-2.82

***

Record 6
Below is an optimized crystal structure of HfCo2Rh, with properties calculated at the GGA-PBE level.

N(E_F): 5.1 states/eV/f.u.
E_tot: -62.3 eV/cell

abc: 3.6549 3.6549 9.5263
angles: 78.94 78.94 90.00
With the nearest neighbours (Å) after each atom.
Element x y z (fractional)
Hf 0.7500 0.2500 0.5000  4 Rh 2.58, 4 Co 2.65
Hf 0.0000 0.0000 0.0000  4 Rh 2.58, 4 Co 2.65
Rh 0.5000 0.5000 0.0000  4 Hf 2.58, 4 Co 2.61
Rh 0.2500 0.7500 0.5000  4 Hf 2.58, 4 Co 2.61
Co 0.1388 0.6250 0.2500  4 Co 2.51-2.66, 2 Rh 2.61, 2 Hf 2.65
Co 0.8750 0.8612 0.7500  4 Co 2.51-2.66, 2 Rh 2.61, 2 Hf 2.65
Co 0.6112 0.1250 0.2500  4 Co 2.51-2.66, 2 Rh 2.61, 2 Hf 2.65
Co 0.3750 0.3888 0.7500  4 Co 2.51-2.66, 2 Rh 2.61, 2 Hf 2.65

***

Record 7
Below is an optimized crystal structure of Hf5Co4Rh, with properties calculated at the GGA-PBE level.

N(E_F): 8.9 states/eV/f.u.
E_tot: -90.4 eV/cell

abc: 3.1868 3.1868 15.8681
angles: 90.00 90.00 90.00
With the nearest neighbours (Å) after each atom.
Element x y z (fractional)
Hf 0.5000 0.5000 0.8942  4 Co 2.73, 4 Rh 2.81
Hf 0.5000 0.5000 0.5000  8 Co 2.74
Hf 0.5000 0.5000 0.3027  8 Co 2.75
Hf 0.5000 0.5000 0.6973  8 Co 2.75
Hf 0.5000 0.5000 0.1058  4 Co 2.73, 4 Rh 2.81
Rh 0.0000 0.0000 0.0000  8 Hf 2.81
Co 0.0000 0.0000 0.4015  8 Hf 2.74-2.75
Co 0.0000 0.0000 0.7969  8 Hf 2.73-2.75
Co 0.0000 0.0000 0.5985  8 Hf 2.74-2.75
Co 0.0000 0.0000 0.2031  8 Hf 2.73-2.75

***

Record 8
Below is an optimized crystal structure of Hf12CoRh6, with properties calculated at the GGA-PBE level.

N(E_F): 20.2 states/eV/f.u.
E_tot: -177.1 eV/cell

abc: 7.5858 7.5858 7.5858
angles: 99.49 99.49 99.49
With the nearest neighbours (Å) after each atom.
Element x y z (fractional)
Hf 0.9520 0.3151 0.0653  1 Co 2.46, 2 Rh 2.68
Hf 0.5860 0.1755 0.4272  4 Rh 2.58-2.77
Hf 0.4272 0.5860 0.1755  4 Rh 2.58-2.77
Hf 0.6849 0.9347 0.0480  1 Co 2.46, 2 Rh 2.68
Hf 0.0480 0.6849 0.9347  1 Co 2.46, 2 Rh 2.68
Hf 0.8245 0.5728 0.4140  4 Rh 2.58-2.77
Hf 0.5728 0.4140 0.8245  4 Rh 2.58-2.77
Hf 0.0653 0.9520 0.3151  1 Co 2.46, 2 Rh 2.68
Hf 0.4140 0.8245 0.5728  4 Rh 2.58-2.77
Hf 0.9347 0.0480 0.6849  1 Co 2.46, 2 Rh 2.68
Hf 0.3151 0.0653 0.9520  1 Co 2.46, 2 Rh 2.68
Hf 0.1755 0.4272 0.5860  4 Rh 2.58-2.77
Rh 0.3040 0.1361 0.6158  6 Hf 2.58-2.77
Rh 0.3842 0.6960 0.8639  6 Hf 2.58-2.77
Rh 0.8639 0.3842 0.6960  6 Hf 2.58-2.77
Rh 0.1361 0.6158 0.3040  6 Hf 2.58-2.77
Rh 0.6960 0.8639 0.3842  6 Hf 2.58-2.77
Rh 0.6158 0.3040 0.1361  6 Hf 2.58-2.77
Co 0.0000 0.0000 0.0000  6 Hf 2.46

***

Record 9
Below is an optimized crystal structure of Hf3Co2Rh, with properties calculated at the GGA-PBE level.

Relative energy among the computed polymorphs: 6 meV per atom
N(E_F): 6.2 states/eV/f.u.

abc: 3.2143 4.5191 7.1166
angles: 108.51 90.00 90.00
With the nearest neighbours (Å) after each atom.
Element x y z (fractional)
Hf 0.5000 0.1715 0.3431  6 Co 2.72-2.77, 2 Rh 2.82
Hf 0.5000 0.5000 0.0000  4 Co 2.76, 4 Rh 2.77
Hf 0.5000 0.8285 0.6569  6 Co 2.72-2.77, 2 Rh 2.82
Co 0.0000 0.3340 0.6681  8 Hf 2.72-2.77
Co 0.0000 0.6660 0.3319  8 Hf 2.72-2.77
Rh 0.0000 0.0000 0.0000  8 Hf 2.77-2.82

***

Record 10
Below is an optimized crystal structure of HfCoRh3, with properties calculated at the GGA-PBE level.

Relative energy among the computed polymorphs: 771 meV per atom
N(E_F): 6.4 states/eV/f.u.

abc: 4.7261 4.7261 4.7261
angles: 90.00 90.00 90.00
With the nearest neighbours (Å) after each atom.
Element x y z (fractional)
Hf 0.0000 0.0000 0.0000  6 Rh 2.36
Rh 0.5000 0.0000 0.0000  2 Hf 2.36
Rh 0.0000 0.5000 0.0000  2 Hf 2.36
Rh 0.0000 0.0000 0.5000  2 Hf 2.36
Co 0.5000 0.5000 0.5000  12 Rh 3.34

***

Record 11
Below is an optimized crystal structure of HfCo3Rh, with properties calculated at the GGA-PBE level.

Relative energy among the computed polymorphs: 0 meV per atom
N(E_F): 6.4 states/eV/f.u.

abc: 4.4490 4.4490 4.4490
angles: 90.00 90.00 90.00
With the nearest neighbours (Å) after each atom.
Element x y z (fractional)
Rh 0.0000 0.0000 0.0000  6 Co 2.22
Hf 0.5000 0.5000 0.5000  12 Co 3.15
Co 0.0000 0.5000 0.0000  2 Rh 2.22
Co 0.0000 0.0000 0.5000  2 Rh 2.22
Co 0.5000 0.0000 0.0000  2 Rh 2.22

***

Record 12
Below is an optimized crystal structure of Hf6CoRh, with properties calculated at the GGA-PBE level.

N(E_F): 10.1 states/eV/f.u.
E_tot: -73.8 eV/cell

abc: 5.9564 5.9705 6.0423
angles: 60.39 76.95 62.80
With the nearest neighbours (Å) after each atom.
Element x y z (fractional)
Hf 0.7387 0.7405 0.0000  1 Co 2.44, 1 Rh 2.65
Hf 0.7450 0.0623 0.3989  1 Co 2.58, 1 Rh 2.64
Hf 0.2550 0.5387 0.3989  1 Co 2.58, 1 Rh 2.64
Hf 0.2550 0.9377 0.6011  1 Co 2.58, 1 Rh 2.64
Hf 0.2613 0.2595 0.0000  1 Co 2.44, 1 Rh 2.65
Hf 0.7450 0.4613 0.6011  1 Co 2.58, 1 Rh 2.64
Co 0.5000 0.5000 0.0000  6 Hf 2.44-2.58
Rh 0.0000 0.0000 0.0000  6 Hf 2.64-2.65

***

Record 13
Below is an optimized crystal structure of Hf2Co2Rh, with properties calculated at the GGA-PBE level.

N(E_F): 4.1 states/eV/f.u.
E_tot: -87.8 eV/cell

abc: 6.6789 6.6789 3.4445
angles: 90.00 90.00 90.00
With the nearest neighbours (Å) after each atom.
Element x y z (fractional)
Co 0.1186 0.3814 0.0000  1 Co 2.24
Co 0.8814 0.6186 0.0000  1 Co 2.24
Co 0.3814 0.8814 0.0000  1 Co 2.24
Co 0.6186 0.1186 0.0000  1 Co 2.24
Rh 0.5000 0.5000 0.0000  4 Co 2.67
Rh 0.0000 0.0000 0.0000  4 Co 2.67
Hf 0.6830 0.8170 0.5000  6 Co 2.54-2.69
Hf 0.8170 0.3170 0.5000  6 Co 2.54-2.69
Hf 0.3170 0.1830 0.5000  6 Co 2.54-2.69
Hf 0.1830 0.6830 0.5000  6 Co 2.54-2.69